# PBE-GGA Fe2ReRu, relaxed
data_Fe2ReRu
_chemical_formula_sum 'Fe4 Re2 Ru2'
_symmetry_space_group_name_H-M 'P 1'
_symmetry_Int_Tables_number 1
_symmetry_space_group_name_Hall 'P 1'
_cell_length_a 3.7171
_cell_length_b 3.7171
_cell_length_c 7.4482
_cell_angle_alpha 90.00
_cell_angle_beta 90.00
_cell_angle_gamma 90.00
loop_
_atom_site_label
_atom_site_type_symbol
_atom_site_fract_x
_atom_site_fract_y
_atom_site_fract_z
Fe1 Fe 0.0000 0.0000 0.0000
Fe2 Fe 0.0000 0.5000 0.2500
Fe3 Fe 0.5000 0.0000 0.7500
Fe4 Fe 0.5000 0.5000 0.5000
Re1 Re 0.0000 0.5000 0.7500
Re2 Re 0.5000 0.0000 0.2500
Ru1 Ru 0.0000 0.0000 0.5000
Ru2 Ru 0.5000 0.5000 0.0000
# Volume   12.86 Å³ per atom
# E_tot   -9.57 eV/atom